No. 1
Below is a relaxed structure of PmAlZnCu3, with properties calculated at the PBE level.

Values from the calculation:
Raw total energy: -3.745 eV per atom
N(E_F): 5.80 states/eV/cell
Formation enthalpy at 0 K: -0.07 eV/atom
Total magnetization: 0.0 μB per cell

Cell lengths 5.6974, 6.1306, 6.7816 Å; angles 116.87, 90.00, 90.00 degrees
Positions (direct):
Cu 0.2500 0.1502 0.3004
Pm 0.7500 0.2952 0.5905
Cu 0.5000 0.3006 0.0000
Zn 0.7500 0.6418 0.2836
Al 0.7500 0.0511 0.1023
Pm 0.2500 0.7048 0.4095
Cu 0.0000 0.3006 0.0000
Cu 0.5000 0.6994 0.0000
Al 0.2500 0.9489 0.8977
Cu 0.7500 0.8498 0.6996
Cu 0.0000 0.6994 0.0000
Zn 0.2500 0.3582 0.7164


No. 2
Below is a relaxed structure of Pm2Al4Zn3Cu, with properties calculated at the PBE level.

Values from the calculation:
Raw total energy: -3.645 eV per atom
N(E_F): 5.10 states/eV/cell
Formation enthalpy at 0 K: -0.41 eV/atom
Total magnetization: 0.0 μB per cell

Cell lengths 4.2392, 4.2392, 10.5780 Å; angles 90.00, 90.00, 90.00 degrees
Positions (direct):
Pm 0.5000 0.0000 0.2552
Pm 0.0000 0.5000 0.7448
Al 0.5000 0.0000 0.6239
Cu 0.5000 0.5000 0.5000
Zn 0.0000 0.0000 0.5000
Zn 0.5000 0.0000 0.8585
Al 0.0000 0.5000 0.3761
Al 0.5000 0.5000 0.0000
Zn 0.0000 0.5000 0.1415
Al 0.0000 0.0000 0.0000


No. 3
Below is a relaxed structure of Pm2AlZn3Cu12, with properties calculated at the PBE level.

Values from the calculation:
Raw total energy: -3.630 eV per atom
N(E_F): 8.67 states/eV/cell
Formation enthalpy at 0 K: 0.05 eV/atom
Total magnetization: 0.0 μB per cell

Cell lengths 6.5513, 6.5513, 6.5513 Å; angles 84.69, 84.69, 84.69 degrees
Positions (direct):
Cu 0.8037 0.2697 0.8037
Cu 0.4174 0.8600 0.4174
Cu 0.1400 0.5826 0.5826
Pm 0.2933 0.2933 0.2933
Cu 0.5826 0.1400 0.5826
Cu 0.8600 0.4174 0.4174
Cu 0.1963 0.1963 0.7303
Cu 0.1963 0.7303 0.1963
Cu 0.7303 0.1963 0.1963
Zn 0.5000 0.0000 0.0000
Cu 0.8037 0.8037 0.2697
Pm 0.7067 0.7067 0.7067
Zn 0.0000 0.0000 0.5000
Cu 0.5826 0.5826 0.1400
Cu 0.4174 0.4174 0.8600
Zn 0.0000 0.5000 0.0000
Al 0.0000 0.0000 0.0000
Cu 0.2697 0.8037 0.8037


No. 4
Below is a relaxed structure of PmAl2ZnCu4, with properties calculated at the PBE level.

Values from the calculation:
Raw total energy: -3.975 eV per atom
N(E_F): 3.65 states/eV/cell
Formation enthalpy at 0 K: -0.24 eV/atom
Total magnetization: 0.0 μB per cell

Cell lengths 4.1743, 4.1743, 8.8818 Å; angles 76.41, 76.41, 60.00 degrees
Positions (direct):
Cu 0.4046 0.4046 0.7862
Cu 0.5954 0.5954 0.2138
Al 0.2401 0.2401 0.2797
Al 0.7599 0.7599 0.7203
Pm 0.0000 0.0000 0.0000
Cu 0.1331 0.1331 0.6006
Zn 0.5000 0.5000 0.5000
Cu 0.8669 0.8669 0.3994


No. 5
Below is a relaxed structure of Pm3AlZn2Cu6, with properties calculated at the PBE level.

Values from the calculation:
Raw total energy: -3.904 eV per atom
N(E_F): 6.57 states/eV/cell
Formation enthalpy at 0 K: -0.14 eV/atom
Total magnetization: 0.0 μB per cell

Cell lengths 5.4705, 5.4705, 8.6101 Å; angles 90.00, 90.00, 120.00 degrees
Positions (direct):
Cu 0.8213 0.6426 0.7307
Pm 0.3333 0.6667 0.6109
Cu 0.8213 0.1787 0.7307
Cu 0.6426 0.8213 0.2693
Pm 0.0000 0.0000 0.0000
Cu 0.3574 0.1787 0.7307
Zn 0.3333 0.6667 0.0113
Cu 0.1787 0.8213 0.2693
Al 0.0000 0.0000 0.5000
Cu 0.1787 0.3574 0.2693
Zn 0.6667 0.3333 0.9887
Pm 0.6667 0.3333 0.3891


No. 6
Below is a relaxed structure of Pr2Al12Cu7, with properties calculated at the PBE level.

Values from the calculation:
Raw total energy: -4.262 eV per atom
N(E_F): 5.72 states/eV/cell
Formation enthalpy at 0 K: -0.30 eV/atom
Total magnetization: 0.0 μB per cell

Cell lengths 4.0073, 10.0652, 10.0652 Å; angles 120.00, 90.00, 90.00 degrees
Positions (direct):
Al 0.2487 0.4335 0.3819
Pr 0.2597 0.3333 0.6667
Al 0.7450 0.2649 0.1472
Cu 0.2438 0.4065 0.1146
Al 0.7513 0.3819 0.9484
Al 0.2487 0.9484 0.5665
Cu 0.5000 0.0000 0.0000
Al 0.7513 0.0516 0.4335
Al 0.2550 0.1472 0.8823
Al 0.7450 0.8528 0.1177
Al 0.2550 0.7351 0.8528
Pr 0.7403 0.6667 0.3333
Cu 0.2438 0.7082 0.5935
Al 0.2550 0.1177 0.2649
Al 0.7450 0.8823 0.7351
Al 0.7513 0.5665 0.6181
Al 0.2487 0.6181 0.0516
Cu 0.7562 0.2918 0.4065
Cu 0.7562 0.1146 0.7082
Cu 0.7562 0.5935 0.8854
Cu 0.2438 0.8854 0.2918


No. 7
Below is a relaxed structure of Pr4Al5Cu2, with properties calculated at the PBE level.

Values from the calculation:
Raw total energy: -4.435 eV per atom
N(E_F): 8.41 states/eV/cell
Formation enthalpy at 0 K: -0.25 eV/atom
Total magnetization: 0.0 μB per cell

Cell lengths 3.7088, 7.3329, 9.5405 Å; angles 93.24, 90.00, 90.00 degrees
Positions (direct):
Al 0.0000 0.5000 0.0000
Al 0.0000 0.2057 0.1660
Al 0.0000 0.7943 0.8340
Cu 0.0000 0.0599 0.6351
Pr 0.5000 0.1687 0.8766
Cu 0.0000 0.9401 0.3649
Al 0.0000 0.5590 0.2928
Pr 0.5000 0.8313 0.1234
Al 0.0000 0.4410 0.7072
Pr 0.5000 0.7387 0.5567
Pr 0.5000 0.2613 0.4433


No. 8
Below is a relaxed structure of PrAl12Cu6, with properties calculated at the PBE level.

Values from the calculation:
Raw total energy: -4.030 eV per atom
N(E_F): 5.66 states/eV/cell
Formation enthalpy at 0 K: -0.12 eV/atom
Total magnetization: 0.0 μB per cell

Cell lengths 7.1049, 7.1049, 7.1049 Å; angles 104.96, 104.96, 104.96 degrees
Positions (direct):
Pr 0.0000 0.0000 0.0000
Al 0.5000 0.8834 0.1166
Al 0.8834 0.1166 0.5000
Al 0.5000 0.1166 0.8834
Al 0.5839 0.8398 0.5839
Cu 0.7341 0.2874 0.7341
Cu 0.2659 0.7126 0.2659
Al 0.4161 0.4161 0.1602
Cu 0.2659 0.2659 0.7126
Al 0.5839 0.5839 0.8398
Al 0.4161 0.1602 0.4161
Cu 0.2874 0.7341 0.7341
Al 0.8834 0.5000 0.1166
Al 0.1602 0.4161 0.4161
Cu 0.7126 0.2659 0.2659
Al 0.8398 0.5839 0.5839
Al 0.1166 0.5000 0.8834
Cu 0.7341 0.7341 0.2874
Al 0.1166 0.8834 0.5000